Computed, not measured: SnCSeN2 after structural relaxation at the PBE level of DFT.

## Properties
raw formation energy	48.5	kcal/mol of atoms
V	12.3	Å³/atom
DOS(E_F)	0.490	states/eV/atom
crystal system	tetragonal

abc: 3.8680 3.8680 4.1271
angles: 90.00 90.00 90.00
Fractional coordinates of all 5 atoms:
1 Sn 0.0000 0.0000 0.0000
2 C 0.5000 0.5000 0.5000
3 Se 0.5000 0.5000 0.0000
4 N 0.0000 0.5000 0.5000
5 N 0.5000 0.0000 0.5000

***

Computed, not measured: Be2InMo after structural relaxation at the PBE level of DFT.

## Properties
energy relative to the elements	0.48	eV per atom
V	14.3	Å³/atom
DOS(E_F)	0.583	states/eV/atom
crystal system	monoclinic

abc: 4.9502 4.9502 2.7490
angles: 103.14 103.14 111.60
Fractional coordinates of all 4 atoms:
1 Be 0.0000 0.5000 0.0000
2 Be 0.5000 0.0000 0.0000
3 In 0.0000 0.0000 0.5000
4 Mo 0.5000 0.5000 0.5000

***

Computed, not measured: Tm2Cu17 after structural relaxation at the PBE level of DFT.

## Properties
energy relative to the elements	-0.12	eV per atom
V	13.7	Å³/atom
DOS(E_F)	0.411	states/eV/atom
crystal system	trigonal

abc: 6.4345 6.4345 6.4345
angles: 82.71 82.71 82.71
Fractional coordinates of all 19 atoms:
1 Tm 0.1594 0.1594 0.1594
2 Tm 0.8406 0.8406 0.8406
3 Cu 0.0000 0.5000 0.5000
4 Cu 0.1530 0.1530 0.6549
5 Cu 0.1530 0.6549 0.1530
6 Cu 0.2023 0.5000 0.7977
7 Cu 0.2023 0.7977 0.5000
8 Cu 0.3451 0.8470 0.8470
9 Cu 0.4014 0.4014 0.4014
10 Cu 0.5000 0.0000 0.5000
11 Cu 0.5000 0.2023 0.7977
12 Cu 0.5000 0.5000 0.0000
13 Cu 0.5000 0.7977 0.2023
14 Cu 0.5986 0.5986 0.5986
15 Cu 0.6549 0.1530 0.1530
16 Cu 0.7977 0.2023 0.5000
17 Cu 0.7977 0.5000 0.2023
18 Cu 0.8470 0.3451 0.8470
19 Cu 0.8470 0.8470 0.3451

***

Computed, not measured: Ir2RhCl after structural relaxation at the PBE level of DFT.

## Properties
raw formation energy	8.8	kcal/mol of atoms
V	14.9	Å³/atom
DOS(E_F)	1.022	states/eV/atom
crystal system	trigonal

abc: 8.6573 8.6573 8.6573
angles: 18.94 18.94 18.94
Fractional coordinates of all 4 atoms:
1 Ir 0.0000 0.0000 0.0000
2 Ir 0.2508 0.2508 0.2508
3 Rh 0.7507 0.7507 0.7507
4 Cl 0.4982 0.4982 0.4982

***

Computed, not measured: RbP2WS after structural relaxation at the PBE level of DFT.

## Properties
raw formation energy	-1.6	kcal/mol of atoms
V	22.5	Å³/atom
DOS(E_F)	0.879	states/eV/atom
crystal system	tetragonal

abc: 4.7815 4.7815 4.9265
angles: 90.00 90.00 90.00
Fractional coordinates of all 5 atoms:
1 Rb 0.0000 0.0000 0.0000
2 P 0.0000 0.5000 0.5000
3 P 0.5000 0.0000 0.5000
4 W 0.5000 0.5000 0.5000
5 S 0.5000 0.5000 0.0000

***

Computed, not measured: K2CuHg after structural relaxation at the PBE level of DFT.

## Properties
energy relative to the elements	0.06	eV per atom
V	35.8	Å³/atom
DOS(E_F)	0.358	states/eV/atom
crystal system	orthorhombic

abc: 6.9287 6.9287 6.9287
angles: 142.39 134.55 60.42
Fractional coordinates of all 4 atoms:
1 K 0.0000 0.0000 0.0000
2 K 0.7143 0.2143 0.5000
3 Cu 0.3008 0.8008 0.5000
4 Hg 0.4226 0.4226 0.0000

***

| no. | E (eV for the cell shown) |
| --- | --- |
| 1 | -22.85 |
| 2 | -19.12 |
| 3 | -80.91 |
| 4 | -25.39 |
| 5 | -29.22 |
| 6 | -6.35 |